Record 1
VASP calculation (GGA-PBE) on a geometry-optimized Ca2VTeAu structure.

Computed properties:
The space group is P4/mmm (123). As for the uncorrected formation energy: -125 meV per atom.

a b c (Å): 5.633 4.946 5.633
angles (deg): 90.00 90.00 90.00
Fractional coordinates of all 5 atoms:
Ca  0.000  0.000  0.500
Ca  0.500  0.000  0.000
Te  0.500  0.500  0.500
Au  0.000  0.000  0.000
V  0.000  0.500  0.000

---

Record 2
VASP calculation (GGA-PBE) on a geometry-optimized CsInSe2 structure.

Computed properties:
The space group is P3m1 (156). As for the uncorrected formation energy: -722 meV per atom.

a b c (Å): 4.195 4.195 8.927
angles (deg): 90.00 90.00 120.00
Fractional coordinates of all 4 atoms:
Cs  0.333  0.667  0.448
Se  0.333  0.667  0.839
Se  0.667  0.333  0.172
In  0.000  0.000  0.996

---

Record 3
VASP calculation (GGA-PBE) on a geometry-optimized Zr2HgAs structure.

Computed properties:
The value obtained for the energy of formation from the pure elements is -0.14 eV/atom. The space group is P4mm (99). For the polymorph energy (0 for the lowest one), the calculation gives 463.3 meV/atom.

a b c (Å): 3.181 3.181 8.750
angles (deg): 90.00 90.00 90.00
Fractional coordinates of all 4 atoms:
As  0.000  0.000  0.480
Hg  0.500  0.500  0.750
Zr  0.000  0.000  0.006
Zr  0.500  0.500  0.264

---

Record 4
VASP calculation (GGA-PBE) on a geometry-optimized ZnIr2I structure.

Computed properties:
The space group is Fm-3m (225). As for the uncorrected formation energy: 802 meV per atom. For the polymorph energy (0 for the lowest one), the calculation gives 120.3 meV/atom.

a b c (Å): 4.572 4.572 4.572
angles (deg): 60.00 60.00 60.00
Fractional coordinates of all 4 atoms:
I  0.500  0.500  0.500
Zn  0.000  0.000  0.000
Ir  0.250  0.250  0.250
Ir  0.750  0.750  0.750

---

Record 5
VASP calculation (GGA-PBE) on a geometry-optimized MnFeRhW2 structure.

Computed properties:
The value obtained for the energy of formation from the pure elements is 1.60 eV/atom. The space group is P4/mmm (123).

a b c (Å): 4.415 4.359 4.415
angles (deg): 90.00 90.00 90.00
Fractional coordinates of all 5 atoms:
Mn  0.000  0.000  0.000
Rh  0.000  0.500  0.000
Fe  0.500  0.500  0.500
W  0.000  0.000  0.500
W  0.500  0.000  0.000

---

Record 6
VASP calculation (GGA-PBE) on a geometry-optimized Sr4Tl2Cd structure.

Computed properties:
The value obtained for the energy of formation from the pure elements is -0.31 eV/atom. The space group is R-3m (166).

a b c (Å): 5.742 5.742 9.977
angles (deg): 73.28 73.28 60.00
Fractional coordinates of all 7 atoms:
Sr  0.875  0.875  0.375
Sr  0.125  0.125  0.625
Sr  0.625  0.625  0.126
Sr  0.375  0.375  0.874
Tl  0.749  0.749  0.753
Tl  0.251  0.251  0.247
Cd  0.000  0.000  0.000

---

Record 7
VASP calculation (GGA-PBE) on a geometry-optimized ZrScC3 structure.

Computed properties:
The value obtained for the energy of formation from the pure elements is 1.38 eV/atom. The space group is Pm-3m (221). For the polymorph energy (0 for the lowest one), the calculation gives 0.0 meV/atom.

a b c (Å): 4.236 4.236 4.236
angles (deg): 90.00 90.00 90.00
Fractional coordinates of all 5 atoms:
Sc  0.500  0.500  0.500
C  0.000  0.500  0.000
C  0.000  0.000  0.500
C  0.500  0.000  0.000
Zr  0.000  0.000  0.000

---

Record 8
VASP calculation (GGA-PBE) on a geometry-optimized Dy7Co2Hg structure.

Computed properties:
The value obtained for the energy of formation from the pure elements is -0.03 eV/atom. The space group is Cmmm (65).

a b c (Å): 4.910 7.993 7.993
angles (deg): 112.21 90.00 90.00
Fractional coordinates of all 10 atoms:
Dy  0.000  0.704  0.296
Dy  0.000  0.296  0.704
Dy  0.500  0.052  0.315
Dy  0.500  0.948  0.685
Dy  0.500  0.315  0.052
Dy  0.500  0.685  0.948
Dy  0.500  0.500  0.500
Co  0.500  0.704  0.296
Co  0.500  0.296  0.704
Hg  0.000  0.000  0.000

---

Record 9
VASP calculation (GGA-PBE) on a geometry-optimized KScSb2Te structure.

Computed properties:
The space group is P4/mmm (123). As for the uncorrected formation energy: 968 meV per atom. For the polymorph energy (0 for the lowest one), the calculation gives 1345.5 meV/atom.

a b c (Å): 5.640 5.640 5.777
angles (deg): 90.00 90.00 90.00
Fractional coordinates of all 5 atoms:
Sc  0.500  0.500  0.500
Sb  0.000  0.500  0.000
Sb  0.500  0.000  0.000
K  0.000  0.000  0.000
Te  0.000  0.000  0.500

---

Record 10
VASP calculation (GGA-PBE) on a geometry-optimized KBeBr structure.

Computed properties:
The space group is I4mm (107). As for the uncorrected formation energy: 72 meV per atom. For the polymorph energy (0 for the lowest one), the calculation gives 28.4 meV/atom.

a b c (Å): 6.537 6.537 6.537
angles (deg): 146.32 146.32 48.37
Fractional coordinates of all 3 atoms:
Be  0.979  0.979  0.000
K  0.670  0.670  0.000
Br  0.351  0.351  0.000

---

Record 11
VASP calculation (GGA-PBE) on a geometry-optimized PtRh2Br structure.

Computed properties:
The space group is Cmmm (65). As for the uncorrected formation energy: 514 meV per atom. For the polymorph energy (0 for the lowest one), the calculation gives 215.7 meV/atom.

a b c (Å): 2.899 2.899 9.107
angles (deg): 90.00 90.00 121.72
Fractional coordinates of all 4 atoms:
Rh  0.000  0.000  0.001
Rh  0.000  0.000  0.499
Br  0.500  0.500  0.250
Pt  0.500  0.500  0.750

---

What did we get for E_tot? Answer: -4.033 -3.362 -5.652 -4.334 -8.579 -2.082 -7.131 -4.701 -2.795 -2.094 -5.090 eV/atom, in the order shown.